Record 1
! HoTm2ThN4 | Alexandria | PBE | optimized geometry; values from VASP
! Crystal system ... monoclinic
! Space group ... No. 10
&SYSTEM
  ibrav = 0, nat = 8, ntyp = 4
/
ATOMIC_SPECIES
Ho 164.93 Ho.upf
Tm 168.93 Tm.upf
Th 232.04 Th.upf
N 14.01 N.upf
ATOMIC_POSITIONS crystal
Ho 0.000 0.000 0.000
Tm 0.000 0.500 0.500
Tm 0.500 0.000 0.500
Th 0.500 0.500 0.000
N 0.245 0.000 0.742
N 0.250 0.500 0.254
N 0.750 0.500 0.746
N 0.755 0.000 0.258
CELL_PARAMETERS angstrom
6.032 0.000 0.000
0.000 3.492 0.000
-1.995 0.000 5.694

=====

Record 2
! Ho2ThUN4 | Alexandria | PBE | optimized geometry; values from VASP
! Crystal system ... monoclinic
! Space group ... No. 10
&SYSTEM
  ibrav = 0, nat = 8, ntyp = 4
/
ATOMIC_SPECIES
Ho 164.93 Ho.upf
Th 232.04 Th.upf
U 238.03 U.upf
N 14.01 N.upf
ATOMIC_POSITIONS crystal
Ho 0.000 0.000 0.000
Ho 0.000 0.500 0.500
Th 0.500 0.000 0.500
U 0.500 0.500 0.000
N 0.252 0.500 0.231
N 0.256 0.000 0.766
N 0.744 0.000 0.234
N 0.748 0.500 0.769
CELL_PARAMETERS angstrom
6.058 0.000 0.000
0.000 3.493 0.000
-1.996 0.000 5.741

=====

Record 3
! Ho2Th3UN6 | Alexandria | PBE | optimized geometry; values from VASP
! Crystal system ... monoclinic
! Space group ... No. 12
&SYSTEM
  ibrav = 0, nat = 12, ntyp = 4
/
ATOMIC_SPECIES
Ho 164.93 Ho.upf
Th 232.04 Th.upf
U 238.03 U.upf
N 14.01 N.upf
ATOMIC_POSITIONS crystal
Ho 0.167 0.833 0.000
Ho 0.833 0.167 0.000
Th 0.000 0.000 0.500
Th 0.332 0.668 0.500
Th 0.668 0.332 0.500
U 0.500 0.500 0.000
N 0.110 0.426 0.778
N 0.259 0.259 0.226
N 0.426 0.110 0.778
N 0.574 0.890 0.222
N 0.741 0.741 0.774
N 0.890 0.574 0.222
CELL_PARAMETERS angstrom
3.050 -5.277 0.000
3.050 5.277 0.000
-2.035 0.000 5.869

=====

Record 4
! HoTh2UN4 | Alexandria | PBE | optimized geometry; values from VASP
! Crystal system ... monoclinic
! Space group ... No. 10
&SYSTEM
  ibrav = 0, nat = 8, ntyp = 4
/
ATOMIC_SPECIES
Ho 164.93 Ho.upf
Th 232.04 Th.upf
U 238.03 U.upf
N 14.01 N.upf
ATOMIC_POSITIONS crystal
Ho 0.000 0.000 0.000
Th 0.000 0.500 0.500
Th 0.500 0.000 0.500
U 0.500 0.500 0.000
N 0.257 0.500 0.224
N 0.267 0.000 0.780
N 0.733 0.000 0.220
N 0.743 0.500 0.776
CELL_PARAMETERS angstrom
6.086 0.000 0.000
0.000 3.538 0.000
-2.016 0.000 5.848

=====

Record 5
! HoTh2WN5 | Alexandria | PBE | optimized geometry; values from VASP
! Crystal system ... tetragonal
! Space group ... No. 127
&SYSTEM
  ibrav = 0, nat = 18, ntyp = 4
/
ATOMIC_SPECIES
Ho 164.93 Ho.upf
Th 232.04 Th.upf
W 183.84 W.upf
N 14.01 N.upf
ATOMIC_POSITIONS crystal
Ho 0.000 0.000 0.000
Ho 0.500 0.500 0.000
Th 0.171 0.329 0.500
Th 0.329 0.829 0.500
Th 0.671 0.171 0.500
Th 0.829 0.671 0.500
W 0.000 0.500 0.000
W 0.500 0.000 0.000
N 0.000 0.000 0.500
N 0.144 0.644 0.234
N 0.144 0.644 0.766
N 0.356 0.144 0.234
N 0.356 0.144 0.766
N 0.500 0.500 0.500
N 0.644 0.856 0.234
N 0.644 0.856 0.766
N 0.856 0.356 0.234
N 0.856 0.356 0.766
CELL_PARAMETERS angstrom
6.819 0.000 0.000
0.000 6.819 0.000
0.000 0.000 5.918

=====

Record 6
! YHo2ThN4 | Alexandria | PBE | optimized geometry; values from VASP
! Crystal system ... monoclinic
! Space group ... No. 10
&SYSTEM
  ibrav = 0, nat = 8, ntyp = 4
/
ATOMIC_SPECIES
Y 88.91 Y.upf
Ho 164.93 Ho.upf
Th 232.04 Th.upf
N 14.01 N.upf
ATOMIC_POSITIONS crystal
Y 0.000 0.000 0.000
Ho 0.000 0.500 0.500
Ho 0.500 0.000 0.500
Th 0.500 0.500 0.000
N 0.247 0.000 0.746
N 0.251 0.500 0.252
N 0.749 0.500 0.748
N 0.753 0.000 0.254
CELL_PARAMETERS angstrom
6.083 0.000 0.000
0.000 3.524 0.000
-2.014 0.000 5.740

=====

Values of uncorrected energy, in order: -8.50, -9.20, -9.30, -9.54, -9.28, -8.73, all in eV/atom.